[1]
! Tb7Nd12Th, relaxed, DFT PBE; values from VASP
! Calculated total energy, eV per atom: -4.584
! E_form, eV/atom: 0.27
! Energy above the most stable polymorph in this dataset, eV per atom: 0.170
! Magnetic moment, μB/cell: 0.0
&SYSTEM
  ibrav = 0, nat = 20, ntyp = 3
/
ATOMIC_SPECIES
Tb 158.93 Tb.upf
Nd 144.24 Nd.upf
Th 232.04 Th.upf
CELL_PARAMETERS angstrom
9.8973 5.7142 2.0865
-9.8973 5.7142 2.0865
0.0000 -11.4284 2.0865
ATOMIC_POSITIONS angstrom
Tb 0.0000 0.0000 0.0000
Tb -2.4463 -1.4124 1.7374
Tb 2.4463 -1.4124 1.7374
Tb 0.0000 2.8247 1.7374
Tb 0.0000 -2.8247 4.5220
Tb -2.4463 1.4124 4.5220
Tb 2.4463 1.4124 4.5220
Nd -4.0770 -4.3669 2.0865
Nd -5.8203 -1.3473 2.0865
Nd 0.0000 -4.0565 1.3492
Nd -3.5130 2.0282 1.3492
Nd 4.0769 -4.3669 2.0865
Nd -1.7434 5.7142 2.0865
Nd 3.5130 2.0282 1.3492
Nd -3.5130 -2.0282 4.9102
Nd 5.8203 -1.3473 2.0865
Nd 1.7434 5.7142 2.0865
Nd 3.5130 -2.0282 4.9102
Nd 0.0000 4.0565 4.9102
Th 0.0000 0.0000 3.1297


[2]
! Tb2NdTh2, relaxed, DFT PBE; values from VASP
! Calculated total energy, eV per atom: -5.739
! E_form, eV/atom: 0.03
! Energy above the most stable polymorph in this dataset, eV per atom: 0.019
! Magnetic moment, μB/cell: 0.0
&SYSTEM
  ibrav = 0, nat = 5, ntyp = 3
/
ATOMIC_SPECIES
Tb 158.93 Tb.upf
Nd 144.24 Nd.upf
Th 232.04 Th.upf
CELL_PARAMETERS angstrom
3.5852 0.0000 0.0000
-1.7926 3.1049 0.0000
0.0000 0.0000 14.7137
ATOMIC_POSITIONS angstrom
Tb 0.0000 2.0699 4.3934
Tb 1.7926 1.0350 10.3203
Nd 0.0000 0.0000 7.3569
Th 0.0000 2.0699 13.2689
Th 1.7926 1.0350 1.4449


[3]
! Tb2Nd3Th, relaxed, DFT PBE; values from VASP
! Calculated total energy, eV per atom: -5.123
! E_form, eV/atom: 0.04
! Energy above the most stable polymorph in this dataset, eV per atom: 0.000
! Magnetic moment, μB/cell: 0.0
&SYSTEM
  ibrav = 0, nat = 12, ntyp = 3
/
ATOMIC_SPECIES
Tb 158.93 Tb.upf
Nd 144.24 Nd.upf
Th 232.04 Th.upf
CELL_PARAMETERS angstrom
-2.5644 5.1348 7.6909
2.5644 -5.1348 7.6909
2.5644 5.1348 -7.6909
ATOMIC_POSITIONS angstrom
Tb 2.5644 2.5674 -2.5530
Tb 0.0000 2.5674 0.0441
Tb 2.5644 2.5674 7.6467
Tb 0.0000 2.5674 10.2438
Nd 2.5644 0.0000 0.0000
Nd 0.0000 0.0478 2.5805
Nd 2.5644 0.0478 5.1103
Nd 0.0000 0.0000 7.6909
Nd 0.0000 5.0870 2.5805
Nd 2.5644 5.0870 5.1103
Th 2.5644 2.5674 2.5975
Th 0.0000 2.5674 5.0934


[4]
! Tb6NdTh, relaxed, DFT PBE; values from VASP
! Calculated total energy, eV per atom: -4.971
! E_form, eV/atom: 0.03
! Energy above the most stable polymorph in this dataset, eV per atom: 0.000
! Magnetic moment, μB/cell: 0.0
&SYSTEM
  ibrav = 0, nat = 8, ntyp = 3
/
ATOMIC_SPECIES
Tb 158.93 Tb.upf
Nd 144.24 Nd.upf
Th 232.04 Th.upf
CELL_PARAMETERS angstrom
5.0600 0.0000 0.0000
0.0000 5.0600 0.0000
0.0000 0.0000 10.0954
ATOMIC_POSITIONS angstrom
Tb 0.0000 0.0000 0.0000
Tb 0.0000 0.0000 5.0477
Tb 0.0000 2.5300 2.4800
Tb 0.0000 2.5300 7.6154
Tb 2.5300 0.0000 2.4800
Tb 2.5300 0.0000 7.6154
Nd 2.5300 2.5300 5.0477
Th 2.5300 2.5300 0.0000


[5]
! Tb2NdTh, relaxed, DFT PBE; values from VASP
! Calculated total energy, eV per atom: -5.347
! E_form, eV/atom: 0.01
! Energy above the most stable polymorph in this dataset, eV per atom: 0.017
! Magnetic moment, μB/cell: 0.0
&SYSTEM
  ibrav = 0, nat = 4, ntyp = 3
/
ATOMIC_SPECIES
Tb 158.93 Tb.upf
Nd 144.24 Nd.upf
Th 232.04 Th.upf
CELL_PARAMETERS angstrom
1.8021 1.0404 11.6297
-1.8021 1.0404 11.6297
0.0000 -2.0808 11.6297
ATOMIC_POSITIONS angstrom
Tb 0.0000 0.0000 8.6366
Tb 0.0000 0.0000 26.2524
Nd 0.0000 0.0000 0.0000
Th 0.0000 0.0000 17.4445


[6]
! Tb8NdTh2, relaxed, DFT PBE; values from VASP
! Calculated total energy, eV per atom: -4.964
! E_form, eV/atom: 0.19
! Energy above the most stable polymorph in this dataset, eV per atom: 0.000
! Magnetic moment, μB/cell: 0.0
&SYSTEM
  ibrav = 0, nat = 11, ntyp = 3
/
ATOMIC_SPECIES
Tb 158.93 Tb.upf
Nd 144.24 Nd.upf
Th 232.04 Th.upf
CELL_PARAMETERS angstrom
9.5570 -3.5272 0.0000
9.5570 3.5272 0.0000
-0.2247 0.0000 5.5799
ATOMIC_POSITIONS angstrom
Tb 0.8518 0.0000 1.3299
Tb 6.9661 1.9034 1.4642
Tb 5.8812 0.0000 4.2844
Tb 11.9232 1.9034 4.1156
Tb 6.9661 -1.9034 1.4642
Tb 13.0081 0.0000 1.2955
Tb 11.9232 -1.9034 4.1156
Tb 18.0375 0.0000 4.2500
Nd 9.5570 0.0000 0.0000
Th 4.1014 0.0000 1.4659
Th 14.7880 0.0000 4.1140